First-principles (PBE-GGA) data for a relaxed TlCu2Pt crystal, as listed in Alexandria via LeMat-Bulk.

Cell lengths 3.0412, 3.0412, 25.1877 Å; angles 90.00, 90.00, 120.00 degrees
Space group R-3m (No. 166, hexagonal axes)
One atom of each set of equivalent atoms:
Tl  0.0000  0.0000  0.0000 [3 per cell]
Cu  0.0000  0.0000  0.2441 [6 per cell]
Pt  0.0000  0.0000  0.5000 [3 per cell]

Calculated values
Formation energy ... 294 meV per atom
Theoretical density ... 13.0 g/cm3
Fermi-level density of states ... 12.016 states/eV per cell
Total magnetic moment ... 0.000 μB per atom
Calculated volume ... 67.25 Å³/f.u.
Offset from the most stable computed form ... 22.8 kJ per mole of atoms

***

First-principles (PBE-GGA) data for a relaxed TcMo2Ru crystal, as listed in Alexandria via LeMat-Bulk.

Cell lengths 3.1343, 4.4156, 8.7948 Å; angles 90.00, 90.00, 90.00 degrees
Space group Imm2 (No. 44)
One atom of each set of equivalent atoms:
Tc  0.0000  0.0000  0.0000 [2 per cell]
Mo  0.0000  0.0000  0.4747 [2 per cell]
Mo  0.0000  0.5000  0.7414 [2 per cell]
Ru  0.0000  0.5000  0.2278 [2 per cell]

Calculated values
Formation energy ... 151 meV per atom
Theoretical density ... 10.7 g/cm3
Fermi-level density of states ... 7.982 states/eV per cell
Total magnetic moment ... 0.000 μB per atom
Calculated volume ... 60.86 Å³/f.u.
Offset from the most stable computed form ... 4.8 kJ per mole of atoms

***

First-principles (PBE-GGA) data for a relaxed TcAgBr5 crystal, as listed in Alexandria via LeMat-Bulk.

Cell lengths 10.1547, 10.8606, 9.8558 Å; angles 90.00, 120.69, 90.00 degrees
Space group C2/c (No. 15)
One atom of each set of equivalent atoms:
Tc  0.0000  0.0000  0.0000 [4 per cell]
Ag  0.0000  0.3767  0.2500 [4 per cell]
Br  0.0000  0.0795  0.7500 [4 per cell]
Br  0.0655  0.2201  0.4872 [8 per cell]
Br  0.2189  0.4477  0.8355 [8 per cell]

Calculated values
Formation energy from raw total energies ... -0.30 eV per atom
Theoretical density ... 4.3 g/cm3
Fermi-level density of states ... 0.007 states/eV per cell
Total magnetic moment ... 0.427 μB per atom
Calculated volume ... 233.69 Å³/f.u.

***

First-principles (PBE-GGA) data for a relaxed Co2CuTc crystal, as listed in Alexandria via LeMat-Bulk.

Cell lengths 2.5613, 3.6952, 5.0896 Å; angles 90.00, 90.00, 90.00 degrees
Space group Pmm2 (No. 25)
One atom of each set of equivalent atoms:
Co  0.0000  0.0000  0.0000 [1 per cell]
Co  0.5000  0.5000  0.2559 [1 per cell]
Cu  0.5000  0.5000  0.7662 [1 per cell]
Tc  0.0000  0.0000  0.4868 [1 per cell]

Calculated values
Formation energy ... 193 meV per atom
Theoretical density ... 9.6 g/cm3
Fermi-level density of states ... 5.325 states/eV per cell
Total magnetic moment ... 0.559 μB per atom
Calculated volume ... 48.17 Å³/f.u.
Offset from the most stable computed form ... 6.5 kJ per mole of atoms

***

First-principles (PBE-GGA) data for a relaxed Tl2Cd2Cl crystal, as listed in Alexandria via LeMat-Bulk.

Cell lengths 4.2036, 4.2036, 17.3109 Å; angles 90.00, 90.00, 90.00 degrees
Space group I4/mmm (No. 139)
One atom of each set of equivalent atoms:
Tl  0.0000  0.0000  0.0916 [4 per cell]
Cd  0.0000  0.5000  0.2500 [4 per cell]
Cl  0.0000  0.0000  0.5000 [2 per cell]

Calculated values
Formation energy from raw total energies ... -0.22 eV per atom
Theoretical density ... 7.3 g/cm3
Fermi-level density of states ... 6.059 states/eV per cell
Total magnetic moment ... 0.000 μB per atom
Calculated volume ... 152.95 Å³/f.u.
Offset from the most stable computed form ... 0.0 kJ per mole of atoms

***

First-principles (PBE-GGA) data for a relaxed TaCo3Br crystal, as listed in Alexandria via LeMat-Bulk.

Cell lengths 4.2573, 4.2573, 4.2573 Å; angles 90.00, 90.00, 90.00 degrees
Space group Pm-3m (No. 221)
One atom of each set of equivalent atoms:
Ta  0.0000  0.0000  0.0000 [1 per cell]
Co  0.0000  0.5000  0.5000 [3 per cell]
Br  0.5000  0.5000  0.5000 [1 per cell]

Calculated values
Formation energy from raw total energies ... 1.27 eV per atom
Theoretical density ... 9.4 g/cm3
Fermi-level density of states ... 6.806 states/eV per cell
Total magnetic moment ... 0.127 μB per atom
Calculated volume ... 77.16 Å³/f.u.
Offset from the most stable computed form ... 0.0 kJ per mole of atoms

***

First-principles (PBE-GGA) data for a relaxed PrGa2TcO8 crystal, as listed in Alexandria via LeMat-Bulk.

Cell lengths 7.3083, 6.3502, 6.7812 Å; angles 90.00, 99.09, 90.00 degrees
Space group C2/m (No. 12)
One atom of each set of equivalent atoms:
Pr  0.0000  0.0000  0.0000 [2 per cell]
Ga  0.0464  0.5000  0.2177 [4 per cell]
Tc  0.0000  0.0000  0.5000 [2 per cell]
O  0.0044  0.2091  0.2958 [8 per cell]
O  0.1733  0.5000  0.9917 [4 per cell]
O  0.2437  0.5000  0.4480 [4 per cell]

Calculated values
Formation energy from raw total energies ... -1.79 eV per atom
Theoretical density ... 5.4 g/cm3
Total magnetic moment ... 0.000 μB per atom
Calculated volume ... 155.38 Å³/f.u.

***

First-principles (PBE-GGA) data for a relaxed SrNbNi3 crystal, as listed in Alexandria via LeMat-Bulk.

Cell lengths 4.7059, 4.7059, 4.7059 Å; angles 90.00, 90.00, 90.00 degrees
Space group Pm-3m (No. 221)
One atom of each set of equivalent atoms:
Sr  0.0000  0.0000  0.0000 [1 per cell]
Nb  0.5000  0.5000  0.5000 [1 per cell]
Ni  0.0000  0.5000  0.5000 [3 per cell]

Calculated values
Formation energy ... 541 meV per atom
Theoretical density ... 5.7 g/cm3
Fermi-level density of states ... 4.869 states/eV per cell
Total magnetic moment ... 0.000 μB per atom
Calculated volume ... 104.22 Å³/f.u.
Offset from the most stable computed form ... 0.0 kJ per mole of atoms